VASP calculation (GGA-PBEsol) on a geometry-optimized FeSiMo structure.

```
FeSiMo
1.0
-1.360 -1.460 -1.821
2.701 -0.028 0.009
-0.061 -4.682 3.800
Fe Mo Si
1 1 1
Cartesian
-0.001 -0.060 0.049
-0.048 -4.141 1.352
1.328 -1.969 0.587
```

Computed properties:
The calculation puts the uncorrected formation energy at -43 meV per atom.